[1]
Density functional theory data (PBE) for a geometry-optimized Fe2Pt3Rh structure.

Lattice parameters (Å, degrees): 3.8584 3.8693 6.1175 108.44 90.00 90.00
Sites, in units of the cell vectors:
Pt: 0.5000 0.5000 0.0000
Pt: 0.5000 0.1687 0.3374
Pt: 0.5000 0.8313 0.6626
Fe: 0.0000 0.3345 0.6690
Fe: 0.0000 0.6655 0.3310
Rh: 0.0000 0.0000 0.0000

Results
Total magnetization: 7.79 μB per formula unit
Final energy: -43.59 eV/f.u.

***

[2]
Density functional theory data (PBE) for a geometry-optimized BeCu2W structure.

Lattice parameters (Å, degrees): 4.4175 4.4175 2.6354 90.00 90.00 90.00
Sites, in units of the cell vectors:
Be: 0.0000 0.5000 0.5000
Cu: 0.0000 0.0000 0.0000
Cu: 0.5000 0.5000 0.0000
W: 0.5000 0.0000 0.5000

Results
Total magnetization: 0.00 μB per formula unit
E above lowest polymorph: 388 meV per atom
Final energy: -23.03 eV/f.u.

***

[3]
Density functional theory data (PBE) for a geometry-optimized KZrRe structure.

Lattice parameters (Å, degrees): 5.2454 5.2454 2.6587 90.00 90.00 120.00
Sites, in units of the cell vectors:
K: 0.0000 0.0000 0.8279
Re: 0.6667 0.3333 0.3340
Zr: 0.3333 0.6667 0.8381

Results
Total magnetization: 0.00 μB per formula unit
E above lowest polymorph: 407 meV per atom
Final energy: -18.60 eV/f.u.

***

[4]
Density functional theory data (PBE) for a geometry-optimized Tl2FeSe structure.

Lattice parameters (Å, degrees): 7.5644 7.5644 7.5644 155.33 145.77 42.65
Sites, in units of the cell vectors:
Fe: 0.4552 0.4552 0.0000
Tl: 0.6986 0.1986 0.5000
Tl: 0.0138 0.0138 0.0000
Se: 0.3325 0.8325 0.5000

Results
Total magnetization: 2.40 μB per formula unit
E above lowest polymorph: 48 meV per atom
Final energy: -16.13 eV/f.u.